# 1
DFT (GGA-PBE) results for a relaxed MnTl2Cu crystal.

Geometry as CIF:
```
data_MnTl2Cu
_chemical_formula_sum 'Mn2 Tl4 Cu2'
_cell_length_a 6.657
_cell_length_b 6.694
_cell_length_c 3.592
_cell_angle_alpha 90.00
_cell_angle_beta 90.00
_cell_angle_gamma 90.00
_space_group_name_H-M_alt 'C m m m'
_space_group_IT_number 65
_space_group_name_Hall '-C 2 2'
loop_
_atom_site_label
_atom_site_fract_x
_atom_site_fract_y
_atom_site_fract_z
Mn1 0.000 0.000 0.000
Tl1 0.250 0.250 0.500
Cu1 0.000 0.500 0.000
```

The calculation puts the raw total energy at -32.51 eV for the cell shown. The excess energy over the best structure of this formula in the dataset is 121 meV/atom. The formation energy comes out at 0.4354 eV per atom.


# 2
DFT (GGA-PBE) results for a relaxed MnTl2Cu crystal.

Geometry as CIF:
```
data_MnTl2Cu
_chemical_formula_sum 'Mn2 Tl4 Cu2'
_cell_length_a 3.340
_cell_length_b 5.615
_cell_length_c 8.964
_cell_angle_alpha 90.00
_cell_angle_beta 90.00
_cell_angle_gamma 90.00
_space_group_name_H-M_alt 'C m m m'
_space_group_IT_number 65
_space_group_name_Hall '-C 2 2'
loop_
_atom_site_label
_atom_site_fract_x
_atom_site_fract_y
_atom_site_fract_z
Mn1 0.000 0.000 0.000
Tl1 0.000 0.500 0.259
Cu1 0.000 0.000 0.500
```

The calculation puts the raw total energy at -31.97 eV for the cell shown. The excess energy over the best structure of this formula in the dataset is 189 meV/atom. The formation energy comes out at 0.5029 eV per atom.


# 3
DFT (GGA-PBE) results for a relaxed MnTlCu crystal.

Geometry as CIF:
```
data_MnTlCu
_chemical_formula_sum 'Mn1 Tl1 Cu1'
_cell_length_a 4.5198
_cell_length_b 4.5198
_cell_length_c 2.9911
_cell_angle_alpha 90.00
_cell_angle_beta 90.00
_cell_angle_gamma 120.00
_space_group_name_H-M_alt 'P 3 m 1'
_space_group_IT_number 156
_space_group_name_Hall 'P 3 -2"'
loop_
_atom_site_label
_atom_site_fract_x
_atom_site_fract_y
_atom_site_fract_z
Mn1 0.0000 0.0000 0.0000
Tl1 0.6667 0.3333 0.5023
Cu1 0.3333 0.6667 0.4971
```

The calculation puts the raw total energy at -14.33 eV for the cell shown. The formation energy comes out at 0.4344 eV per atom.


# 4
DFT (GGA-PBE) results for a relaxed MnTlCu2 crystal.

Geometry as CIF:
```
data_MnTlCu2
_chemical_formula_sum 'Mn2 Tl2 Cu4'
_cell_length_a 8.434
_cell_length_b 4.126
_cell_length_c 4.091
_cell_angle_alpha 90.00
_cell_angle_beta 118.69
_cell_angle_gamma 90.00
_space_group_name_H-M_alt 'C 1 m 1'
_space_group_IT_number 8
_space_group_name_Hall 'C -2y'
loop_
_atom_site_label
_atom_site_fract_x
_atom_site_fract_y
_atom_site_fract_z
Mn1 0.000 0.000 0.000
Tl1 0.249 0.500 0.251
Cu1 0.250 0.000 0.751
Cu2 0.498 0.000 0.503
```

The calculation puts the raw total energy at -36.89 eV for the cell shown. The excess energy over the best structure of this formula in the dataset is 56 meV/atom. The formation energy comes out at 0.3207 eV per atom.


# 5
DFT (GGA-PBE) results for a relaxed MnTl3Cu crystal.

Geometry as CIF:
```
data_MnTl3Cu
_chemical_formula_sum 'Mn1 Tl3 Cu1'
_cell_length_a 5.195
_cell_length_b 5.195
_cell_length_c 5.195
_cell_angle_alpha 90.00
_cell_angle_beta 90.00
_cell_angle_gamma 90.00
_space_group_name_H-M_alt 'P m -3 m'
_space_group_IT_number 221
_space_group_name_Hall '-P 4 2 3'
loop_
_atom_site_label
_atom_site_fract_x
_atom_site_fract_y
_atom_site_fract_z
Mn1 0.000 0.000 0.000
Tl1 0.000 0.500 0.500
Cu1 0.500 0.500 0.500
```

The calculation puts the raw total energy at -17.30 eV for the cell shown. The excess energy over the best structure of this formula in the dataset is 0 meV/atom. The formation energy comes out at 0.6119 eV per atom.


# 6
DFT (GGA-PBE) results for a relaxed MnTlCu2 crystal.

Geometry as CIF:
```
data_MnTlCu2
_chemical_formula_sum 'Mn3 Tl3 Cu6'
_cell_length_a 3.1661
_cell_length_b 3.1661
_cell_length_c 23.9865
_cell_angle_alpha 90.00
_cell_angle_beta 90.00
_cell_angle_gamma 120.00
_space_group_name_H-M_alt 'R -3 m'
_space_group_IT_number 166
_space_group_name_Hall '-R 3 2"'
loop_
_atom_site_label
_atom_site_fract_x
_atom_site_fract_y
_atom_site_fract_z
Mn1 0.0000 0.0000 0.0000
Tl1 0.0000 0.0000 0.5000
Cu1 0.0000 0.0000 0.2581
```

The calculation puts the raw total energy at -53.76 eV for the cell shown. The excess energy over the best structure of this formula in the dataset is 187 meV/atom. The formation energy comes out at 0.4520 eV per atom.